Entry i
# Sr2FeHg (PBE, relaxed)
# Total magnetization in μB per formula unit: 2.71
data_Sr2FeHg
_space_group_name_H-M_alt 'C m m m'
_space_group_IT_number 65
_space_group_name_Hall '-C 2 2'
_cell_length_a 7.898
_cell_length_b 7.915
_cell_length_c 3.829
_cell_angle_alpha 90.00
_cell_angle_beta 90.00
_cell_angle_gamma 90.00
loop_
_atom_site_label
_atom_site_fract_x
_atom_site_fract_y
_atom_site_fract_z
Sr1 0.250 0.250 0.000
Fe1 0.000 0.000 0.500
Hg1 0.000 0.500 0.500



Entry ii
# Sr2FeHg (PBE, relaxed)
# Total magnetization in μB per formula unit: 2.51
data_Sr2FeHg
_space_group_name_H-M_alt 'P 1 2/m 1'
_space_group_IT_number 10
_cell_length_a 3.834
_cell_length_b 3.821
_cell_length_c 8.097
_cell_angle_alpha 90.00
_cell_angle_beta 90.12
_cell_angle_gamma 90.00
loop_
_space_group_symop_operation_xyz
'x,y,z'
'-x,-y,-z'
'-x,y,-z'
'x,-y,z'
loop_
_atom_site_label
_atom_site_fract_x
_atom_site_fract_y
_atom_site_fract_z
Sr1 0.003 0.000 0.262
Fe1 0.500 0.500 0.500
Hg1 0.500 0.500 0.000



Entry iii
# Sr2FeHg (PBE, relaxed)
# Total magnetization in μB per formula unit: 2.32
data_Sr2FeHg
_space_group_name_H-M_alt 'R -3 m'
_space_group_IT_number 166
_space_group_name_Hall '-R 3 2"'
_cell_length_a 4.2053
_cell_length_b 4.2053
_cell_length_c 26.4229
_cell_angle_alpha 90.00
_cell_angle_beta 90.00
_cell_angle_gamma 120.00
loop_
_atom_site_label
_atom_site_fract_x
_atom_site_fract_y
_atom_site_fract_z
Sr1 0.0000 0.0000 0.2430
Fe1 0.0000 0.0000 0.5000
Hg1 0.0000 0.0000 0.0000



Pick entry ii: it beats the second-best structure by 14 meV per atom.